Run one
## TmNbW (PBE)

Data for a relaxed structure of TmNbW.

Cell: 4.5669 4.5669 4.5669 Å, 60.00 60.00 60.00°
With the nearest neighbours (Å) after each atom.
Fractional coordinates of all 3 atoms:
1 Nb 0.2500 0.2500 0.2500  4 Tm 2.80
2 Tm 0.0000 0.0000 0.0000  4 W 2.80, 4 Nb 2.80
3 W 0.7500 0.7500 0.7500  4 Tm 2.80

Calculated values
Magnetic moment, μB per formula unit: 0.02



Run two
## TmNbW (PBE)

Data for a relaxed structure of TmNbW.

Cell: 4.5759 4.5759 4.5759 Å, 60.00 60.00 60.00°
With the nearest neighbours (Å) after each atom.
Fractional coordinates of all 3 atoms:
1 Nb 0.0000 0.0000 0.0000  4 W 2.80, 4 Tm 2.80
2 W 0.7500 0.7500 0.7500  4 Nb 2.80
3 Tm 0.2500 0.2500 0.2500  4 Nb 2.80

Calculated values
Magnetic moment, μB per formula unit: 0.00



Most stable structure: run two



Run one
## UNb (PBE)

Data for a relaxed structure of UNb.

Cell: 4.1490 4.1490 4.1490 Å, 60.00 60.00 60.00°
With the nearest neighbours (Å) after each atom.
Fractional coordinates of all 2 atoms:
1 Nb 0.0000 0.0000 0.0000  4 U 2.54
2 U 0.2500 0.2500 0.2500  4 Nb 2.54

Calculated values
Magnetic moment, μB per formula unit: 0.01



Run two
## UNb (PBE)

Data for a relaxed structure of UNb.

Cell: 3.9213 3.9213 3.9213 Å, 60.00 60.00 60.00°
With the nearest neighbours (Å) after each atom.
Fractional coordinates of all 2 atoms:
1 U 0.5000 0.5000 0.5000  6 Nb 2.77
2 Nb 0.0000 0.0000 0.0000  6 U 2.77

Calculated values
Magnetic moment, μB per formula unit: 0.01



Run three
## UNb (PBE)

Data for a relaxed structure of UNb.

Cell: 2.9353 2.9352 5.4346 Å, 90.00 90.00 120.00°
With the nearest neighbours (Å) after each atom.
Fractional coordinates of all 2 atoms:
1 Nb 0.6667 0.3333 0.7500  6 Nb 2.94, 6 U 3.20
2 U 0.3333 0.6667 0.2500  6 U 2.94, 6 Nb 3.20

Calculated values
Magnetic moment, μB per formula unit: 0.90



Most stable structure: run three



Run one
## ZrUNb (PBE)

Data for a relaxed structure of ZrUNb.

Cell: 4.6505 4.6505 4.6505 Å, 60.00 60.00 60.00°
With the nearest neighbours (Å) after each atom.
Fractional coordinates of all 3 atoms:
1 U 0.0000 0.0000 0.0000  4 Nb 2.85, 4 Zr 2.85
2 Zr 0.7500 0.7500 0.7500  4 U 2.85
3 Nb 0.2500 0.2500 0.2500  4 U 2.85

Calculated values
Magnetic moment, μB per formula unit: 2.23



Run two
## ZrUNb (PBE)

Data for a relaxed structure of ZrUNb.

Cell: 4.6786 4.6786 4.6786 Å, 60.00 60.00 60.00°
With the nearest neighbours (Å) after each atom.
Fractional coordinates of all 3 atoms:
1 Zr 0.7500 0.7500 0.7500  4 Nb 2.87
2 U 0.2500 0.2500 0.2500  4 Nb 2.87
3 Nb 0.0000 0.0000 0.0000  4 Zr 2.87, 4 U 2.87

Calculated values
Magnetic moment, μB per formula unit: 1.15



Most stable structure: run two



Run one
## Y2Nb (PBE)

Data for a relaxed structure of Y2Nb.

Cell: 8.2741 8.2741 8.2741 Å, 60.00 60.00 60.00°
With the nearest neighbours (Å) after each atom.
Fractional coordinates of all 6 atoms:
1 Nb 0.0000 0.0000 0.0000  4 Y 2.53
2 Nb 0.2500 0.2500 0.2500  4 Y 2.53
3 Y 0.6250 0.1250 0.1250  2 Nb 2.53
4 Y 0.1250 0.6250 0.1250  2 Nb 2.53
5 Y 0.1250 0.1250 0.1250  2 Nb 2.53
6 Y 0.1250 0.1250 0.6250  2 Nb 2.53

Calculated values
Magnetic moment, μB per formula unit: 0.01



Run two
## Y2Nb (PBE)

Data for a relaxed structure of Y2Nb.

Cell: 6.0514 6.0514 6.0514 Å, 60.00 60.00 60.00°
With the nearest neighbours (Å) after each atom.
Fractional coordinates of all 6 atoms:
1 Y 0.6250 0.1250 0.6250  6 Y 3.03
2 Y 0.1250 0.6250 0.6250  6 Y 3.03
3 Y 0.6250 0.6250 0.6250  6 Y 3.03
4 Y 0.6250 0.6250 0.1250  6 Y 3.03
5 Nb 0.2500 0.2500 0.2500  12 Y 3.55, 4 Nb 3.71
6 Nb 0.0000 0.0000 0.0000  12 Y 3.55, 4 Nb 3.71

Calculated values
Magnetic moment, μB per formula unit: 0.00



Most stable structure: run two